Computed, not measured: a geometry-optimized LiMnBO3 structure at the GGA+U level of DFT.

a b c (Å): 10.522 9.065 10.564
angles (deg): 90.00 92.17 90.00
Space group P2_1/c (No. 14)
Unique sites:
Li (0.042, 0.233, 0.336)
Li (0.204, 0.245, 0.588)
Li (0.293, 0.736, 0.337)
Li (0.453, 0.745, 0.586)
Mn (0.047, 0.590, 0.882)
Mn (0.204, 0.585, 0.622)
Mn (0.291, 0.090, 0.873)
Mn (0.461, 0.086, 0.631)
B (0.042, 0.577, 0.369)
B (0.209, 0.578, 0.132)
B (0.291, 0.078, 0.382)
B (0.459, 0.079, 0.119)
O (0.009, 0.561, 0.662)
O (0.034, 0.202, 0.144)
O (0.081, 0.587, 0.090)
O (0.169, 0.590, 0.410)
O (0.212, 0.199, 0.397)
O (0.240, 0.556, 0.839)
O (0.262, 0.060, 0.664)
O (0.282, 0.704, 0.146)
O (0.330, 0.089, 0.086)
O (0.420, 0.091, 0.414)
O (0.464, 0.702, 0.394)
O (0.488, 0.056, 0.839)

Magnetic moment ... 80.0 μB/cell
Excess energy over the best structure of this formula in the dataset ... 0.005 eV per atom